YGa2SiSe | PBE-GGA | optimized geometry Values from VASP.

The structure in Quantum ESPRESSO input format:
```
&SYSTEM
  ibrav = 0, nat = 5, ntyp = 4
/
ATOMIC_SPECIES
Y 88.91 Y.upf
Ga 69.72 Ga.upf
Si 28.09 Si.upf
Se 78.96 Se.upf
CELL_PARAMETERS angstrom
5.0051 0.0000 0.0000
0.0000 5.0051 0.0000
0.0000 0.0000 4.9013
ATOMIC_POSITIONS angstrom
Y 0.0000 0.0000 0.0000
Ga 0.0000 2.5025 2.4506
Ga 2.5025 0.0000 2.4506
Si 2.5025 2.5025 0.0000
Se 2.5025 2.5025 2.4506
```

**Formation energy without anion corrections**: 0.3074 eV/atom
**Space-group type**: P4/mmm